Material: Tb4TlBi3O12
Method: DFT, PBE
State: optimized geometry

Lattice parameters (Å, degrees): 7.4665 7.4665 7.4665 109.47 109.47 109.47
Closest atoms and distances in Å follow each position.
Fractional positions:
Tb 0.0000 0.0000 0.5000  6 O 2.29
Tb 0.0000 0.5000 0.0000  6 O 2.29
Tb 0.5000 0.0000 0.0000  6 O 2.29
Tb 0.5000 0.5000 0.5000  6 O 2.29
Tl 0.0000 0.0000 0.0000  12 O 3.17
Bi 0.0000 0.5000 0.5000  4 O 2.27
Bi 0.5000 0.0000 0.5000  4 O 2.27
Bi 0.5000 0.5000 0.0000  4 O 2.27
O 0.1279 0.3164 0.8115  1 Bi 2.27, 2 Tb 2.29
O 0.1885 0.5049 0.3164  1 Bi 2.27, 2 Tb 2.29
O 0.1885 0.8721 0.6836  1 Bi 2.27, 2 Tb 2.29
O 0.3164 0.1885 0.5049  1 Bi 2.27, 2 Tb 2.29
O 0.3164 0.8115 0.1279  1 Bi 2.27, 2 Tb 2.29
O 0.4951 0.6836 0.8115  1 Bi 2.27, 2 Tb 2.29
O 0.5049 0.3164 0.1885  1 Bi 2.27, 2 Tb 2.29
O 0.6836 0.1885 0.8721  1 Bi 2.27, 2 Tb 2.29
O 0.6836 0.8115 0.4951  1 Bi 2.27, 2 Tb 2.29
O 0.8115 0.1279 0.3164  1 Bi 2.27, 2 Tb 2.29
O 0.8115 0.4951 0.6836  1 Bi 2.27, 2 Tb 2.29
O 0.8721 0.6836 0.1885  1 Bi 2.27, 2 Tb 2.29

Computed properties:
- mass density (g cm⁻³) = 8.60
- formation energy from raw total energies (eV/atom) = -2.137

---

Material: CePt4Rh
Method: DFT, PBE
State: optimized geometry

Lattice parameters (Å, degrees): 5.3349 5.3349 5.3349 60.00 60.00 60.00
Closest atoms and distances in Å follow each position.
Fractional positions:
Ce 0.0000 0.0000 0.0000  12 Pt 3.13, 4 Rh 3.27
Pt 0.1269 0.6244 0.6244  6 Pt 2.65-2.68
Pt 0.6244 0.1269 0.6244  6 Pt 2.65-2.68
Pt 0.6244 0.6244 0.1269  6 Pt 2.65-2.68
Pt 0.6244 0.6244 0.6244  6 Pt 2.65-2.68
Rh 0.2500 0.2500 0.2500  12 Pt 3.13, 4 Ce 3.27

Computed properties:
- E_form (eV per atom) = -0.566
- mass density (g cm⁻³) = 15.83
- offset from the most stable computed form (eV per atom) = 0.099

---

Material: Rb2MgWI6
Method: DFT, PBE
State: optimized geometry

Lattice parameters (Å, degrees): 8.3267 8.3267 8.3267 60.00 60.00 60.00
Closest atoms and distances in Å follow each position.
Fractional positions:
Rb 0.2500 0.2500 0.2500  12 I 4.16
Rb 0.7500 0.7500 0.7500  12 I 4.16
Mg 0.0000 0.0000 0.0000  6 I 3.04
W 0.5000 0.5000 0.5000  6 I 2.85
I 0.2579 0.2579 0.7421  1 W 2.85, 1 Mg 3.04
I 0.2579 0.7421 0.2579  1 W 2.85, 1 Mg 3.04
I 0.2579 0.7421 0.7421  1 W 2.85, 1 Mg 3.04
I 0.7421 0.2579 0.2579  1 W 2.85, 1 Mg 3.04
I 0.7421 0.2579 0.7421  1 W 2.85, 1 Mg 3.04
I 0.7421 0.7421 0.2579  1 W 2.85, 1 Mg 3.04

Computed properties:
- mass density (g cm⁻³) = 4.64
- formation energy from raw total energies (eV/atom) = -0.611

---

Material: NdLuScAl
Method: DFT, PBE
State: optimized geometry

Lattice parameters (Å, degrees): 5.2406 5.2406 5.2406 60.00 60.00 60.00
Closest atoms and distances in Å follow each position.
Fractional positions:
Nd 0.0000 0.0000 0.0000  4 Al 3.21, 4 Lu 3.21
Lu 0.7500 0.7500 0.7500  4 Nd 3.21, 4 Sc 3.21
Sc 0.5000 0.5000 0.5000  4 Al 3.21, 4 Lu 3.21
Al 0.2500 0.2500 0.2500  4 Nd 3.21, 4 Sc 3.21

Computed properties:
- E_form (eV per atom) = -0.075
- mass density (g cm⁻³) = 6.38

---

Material: K2Hf3I9
Method: DFT, PBE
State: optimized geometry

Lattice parameters (Å, degrees): 11.3352 11.3352 11.2229 102.15 102.15 118.47
Closest atoms and distances in Å follow each position.
Fractional positions:
K 0.0533 0.7263 0.6617  4 I 3.51-3.58
K 0.2737 0.9467 0.3383  4 I 3.51-3.58
K 0.7263 0.0533 0.6617  4 I 3.51-3.58
K 0.9467 0.2737 0.3383  4 I 3.51-3.58
Hf 0.2893 0.4577 0.8673  5 I 2.89-3.19, 1 Hf 3.21
Hf 0.3667 0.3667 0.1303  5 I 2.87-3.03
Hf 0.4577 0.2893 0.8673  5 I 2.89-3.19, 1 Hf 3.21
Hf 0.5423 0.7107 0.1327  5 I 2.89-3.19, 1 Hf 3.21
Hf 0.6333 0.6333 0.8697  5 I 2.87-3.03
Hf 0.7107 0.5423 0.1327  5 I 2.89-3.19, 1 Hf 3.21
I 0.0029 0.6050 0.3227  1 Hf 3.19, 2 K 3.55
I 0.0866 0.2958 0.9812  2 Hf 2.88-2.91
I 0.1848 0.1848 0.6715  2 Hf 2.89
I 0.2083 0.2083 0.2877  1 Hf 3.03
I 0.2926 0.7074 0.0000  2 Hf 2.89
I 0.2958 0.0866 0.9812  2 Hf 2.88-2.91
I 0.3876 0.5937 0.6860  2 Hf 2.87-2.90
I 0.3950 0.9971 0.6773  1 Hf 3.19, 2 K 3.55
I 0.4063 0.6124 0.3140  2 Hf 2.87-2.90
I 0.5937 0.3876 0.6860  2 Hf 2.87-2.90
I 0.6050 0.0029 0.3227  1 Hf 3.19, 2 K 3.55
I 0.6124 0.4063 0.3140  2 Hf 2.87-2.90
I 0.7042 0.9134 0.0188  2 Hf 2.88-2.91
I 0.7074 0.2926 0.0000  2 Hf 2.89
I 0.7917 0.7917 0.7123  1 Hf 3.03
I 0.8152 0.8152 0.3285  2 Hf 2.89
I 0.9134 0.7042 0.0188  2 Hf 2.88-2.91
I 0.9971 0.3950 0.6773  1 Hf 3.19, 2 K 3.55

Computed properties:
- mass density (g cm⁻³) = 5.05
- formation energy from raw total energies (eV/atom) = -0.936

---

Material: AgPPb
Method: DFT, PBE
State: optimized geometry

Lattice parameters (Å, degrees): 7.1330 7.1330 4.4734 90.00 90.00 120.00
Closest atoms and distances in Å follow each position.
Fractional positions:
Ag 0.0000 0.2496 0.0000  4 P 2.73-2.86
Ag 0.2496 0.0000 0.0000  4 P 2.73-2.86
Ag 0.7504 0.7504 0.0000  4 P 2.73-2.86
P 0.0000 0.0000 0.5000  6 Ag 2.86, 3 Pb 2.90
P 0.3333 0.6667 0.0000  3 Ag 2.73
P 0.6667 0.3333 0.0000  3 Ag 2.73
Pb 0.0000 0.5930 0.5000  5 P 2.90-3.11
Pb 0.4070 0.4070 0.5000  5 P 2.90-3.11
Pb 0.5930 0.0000 0.5000  5 P 2.90-3.11

Computed properties:
- E_form (eV per atom) = 0.128
- mass density (g cm⁻³) = 8.75
- offset from the most stable computed form (eV per atom) = 0.018

---

Material: LaMgFe2
Method: DFT, PBE
State: optimized geometry

Lattice parameters (Å, degrees): 3.4684 3.4684 6.4968 90.00 90.00 90.00
Closest atoms and distances in Å follow each position.
Fractional positions:
La 0.0000 0.0000 0.0000  8 Fe 3.22, 2 Mg 3.25, 4 La 3.47
Mg 0.0000 0.0000 0.5000  8 Fe 2.71
Fe 0.5000 0.5000 0.3218  1 Fe 2.32
Fe 0.5000 0.5000 0.6782  1 Fe 2.32

Computed properties:
- E_form (eV per atom) = 0.315
- mass density (g cm⁻³) = 5.84

---

Material: KCuSn2
Method: DFT, PBE
State: optimized geometry

Lattice parameters (Å, degrees): 5.1930 5.1930 5.1930 60.00 60.00 60.00
Closest atoms and distances in Å follow each position.
Fractional positions:
K 0.0000 0.0000 0.0000  8 Sn 3.18
Cu 0.5000 0.5000 0.5000  8 Sn 3.18
Sn 0.2500 0.2500 0.2500  4 Cu 3.18, 4 K 3.18
Sn 0.7500 0.7500 0.7500  4 K 3.18, 4 Cu 3.18

Computed properties:
- E_form (eV per atom) = 0.269
- mass density (g cm⁻³) = 5.70

---

Material: Hf3Cu2
Method: DFT, PBE
State: optimized geometry

Lattice parameters (Å, degrees): 5.3020 5.3020 5.3020 134.67 114.99 82.79
Closest atoms and distances in Å follow each position.
Fractional positions:
Hf 0.0000 0.0000 0.0000  4 Cu 2.63
Hf 0.3022 0.8022 0.5000  6 Cu 2.84-2.92, 3 Hf 3.15
Hf 0.6978 0.1978 0.5000  6 Cu 2.84-2.92, 3 Hf 3.15
Cu 0.2897 0.5000 0.7897  1 Cu 2.40, 2 Hf 2.63
Cu 0.7103 0.5000 0.2103  1 Cu 2.40, 2 Hf 2.63

Computed properties:
- E_form (eV per atom) = 0.023
- mass density (g cm⁻³) = 11.88

---

Material: Ca4DySe5
Method: DFT, PBE
State: optimized geometry

Lattice parameters (Å, degrees): 7.2326 7.2326 7.2326 99.57 99.57 131.87
Closest atoms and distances in Å follow each position.
Fractional positions:
Ca 0.0987 0.3007 0.3994  6 Se 2.95-2.99
Ca 0.3007 0.9013 0.2020  6 Se 2.95-2.99
Ca 0.6993 0.0987 0.7980  6 Se 2.95-2.99
Ca 0.9013 0.6993 0.6006  6 Se 2.95-2.99
Dy 0.5000 0.5000 0.0000  6 Se 2.90-2.95
Se 0.0000 0.0000 0.0000  2 Dy 2.95, 4 Ca 2.96
Se 0.2050 0.5986 0.8036  1 Dy 2.90, 5 Ca 2.95-2.99
Se 0.4014 0.2050 0.6064  1 Dy 2.90, 5 Ca 2.95-2.99
Se 0.5986 0.7950 0.3936  1 Dy 2.90, 5 Ca 2.95-2.99
Se 0.7950 0.4014 0.1964  1 Dy 2.90, 5 Ca 2.95-2.99

Computed properties:
- mass density (g cm⁻³) = 4.63
- formation energy from raw total energies (eV/atom) = -1.958
- offset from the most stable computed form (eV per atom) = 0.006

---

Material: Ca2WSe
Method: DFT, PBE
State: optimized geometry

Lattice parameters (Å, degrees): 3.2485 3.2485 8.6161 90.00 90.00 90.00
Closest atoms and distances in Å follow each position.
Fractional positions:
Ca 0.0000 0.0000 0.2247  4 Se 3.00, 4 Ca 3.25, 4 W 3.30
Ca 0.0000 0.0000 0.7753  4 Se 3.00, 4 Ca 3.25, 4 W 3.30
W 0.5000 0.5000 0.5000  4 W 3.25, 8 Ca 3.30
Se 0.5000 0.5000 0.0000  8 Ca 3.00, 4 Se 3.25

Computed properties:
- mass density (g cm⁻³) = 6.26
- formation energy from raw total energies (eV/atom) = 0.019

---

Material: RhSe2O
Method: DFT, PBE
State: optimized geometry

Lattice parameters (Å, degrees): 6.5022 6.5022 6.5022 34.59 34.59 34.59
Closest atoms and distances in Å follow each position.
Fractional positions:
Rh 0.0000 0.0000 0.0000  6 Se 2.52
Se 0.3968 0.3968 0.3968  1 O 1.89
Se 0.6032 0.6032 0.6032  1 O 1.89
O 0.5000 0.5000 0.5000  2 Se 1.89

Computed properties:
- mass density (g cm⁻³) = 5.81
- formation energy from raw total energies (eV/atom) = -0.260